A relaxed Rb2OsBr7 crystal. Source: Alexandria via LeMat-Bulk, functional GGA-PBE.

- M_tot (μB/atom) = 0.06
- energy relative to the elements, uncorrected (meV per atom) = -635
- ΔE to the lowest computed polymorph (meV per atom) = 65.0
- volume (Å³ per cell) = 1428
- mass density (g cm⁻³) = 4.28

abc: 17.9542 7.6985 13.5003
angles: 90.00 130.06 90.00
Closest atoms and distances in Å follow each position.
Space group C2/c (No. 15)
One atom of each set of equivalent atoms:
Rb 0.1267 0.1966 0.0478 [8 per cell]  7 Br 3.46-3.79
Os 0.0000 0.2573 0.2500 [4 per cell]  7 Br 2.54-2.62
Br 0.0000 0.4084 0.7500 [4 per cell]  1 Os 2.57
Br 0.0800 0.2623 0.4877 [8 per cell]  1 Os 2.54
Br 0.0964 0.0155 0.7716 [8 per cell]  1 Os 2.62
Br 0.1648 0.3639 0.3205 [8 per cell]  1 Os 2.59